w) {"formula": "AcSiBr", "functional": "GGA-PBE", "state": "relaxed", "magnetic_moment_mub_per_cell": 0.0, "crystal_system": "monoclinic", "lattice": [[7.5231, 0.0000, 0.0000], [0.0000, 4.2820, 0.0000], [-2.4969, 0.0000, 12.1454]], "species": ["Ac", "Ac", "Ac", "Ac", "Si", "Si", "Si", "Si", "Br", "Br", "Br", "Br"], "frac_coords": [[0.0601, 0.0000, 0.1765], [0.4399, 0.5000, 0.8235], [0.5601, 0.5000, 0.1765], [0.9399, 0.0000, 0.8235], [0.1647, 0.5000, 0.9948], [0.3353, 0.0000, 0.0052], [0.6647, 0.0000, 0.9948], [0.8353, 0.5000, 0.0052], [0.2164, 0.0000, 0.6592], [0.2836, 0.5000, 0.3408], [0.7164, 0.5000, 0.6592], [0.7836, 0.0000, 0.3408]]}

x) {"formula": "AcSiBr", "functional": "GGA-PBE", "state": "relaxed", "magnetic_moment_mub_per_cell": 0.0, "crystal_system": "triclinic", "lattice": [[4.2548, 0.0000, 0.0000], [-2.1210, 4.2907, 0.0000], [-0.0026, -2.0805, 11.4665]], "species": ["Ac", "Ac", "Si", "Si", "Br", "Br"], "frac_coords": [[0.0000, 0.0000, 0.0000], [0.4689, 0.9388, 0.6270], [0.2696, 0.5380, 0.8421], [0.8123, 0.6241, 0.7562], [0.0985, 0.1982, 0.4627], [0.7212, 0.4432, 0.1556]]}

Of them, the most stable is w) and the least stable is x).